BaOsSe2Br, single point on PBEsol structure, DFT meta-GGA SCAN; formation energy (no corrections) = 1.19 eV per atom; E_tot = -165.10 eV/f.u.
1.0
6.002 0.000 0.000
0.000 6.002 0.000
0.000 0.000 5.964
Ba Os Se Br
1 1 2 1
Direct
0.000 0.000 0.000
0.500 0.500 0.500
0.000 0.500 0.000
0.500 0.000 0.000
0.000 0.000 0.500